The following is a PBE calculation of a geometry-optimized CdBiSb structure, from Alexandria.

## Properties
Spin magnetization ... 0.000 μB per formula unit
E above lowest polymorph ... 10.4 meV/atom
ΔE_f (raw) ... 0.0590 eV per atom

Cell: 6.5470 4.2364 6.9761 Å, 107.68 105.15 90.00°
Fractional coordinates of all 6 atoms:
Cd: 0.2534 0.5055 0.0110
Cd: 0.7466 0.4945 0.9890
Sb: 0.8256 0.8428 0.6856
Sb: 0.1744 0.1572 0.3144
Bi: 0.3164 0.8354 0.6709
Bi: 0.6836 0.1646 0.3291